LuGaNiAu after structural relaxation. Source: the Alexandria database, functional PBE.

a b c (Å): 4.6106 4.6106 4.6106
angles (deg): 60.00 60.00 60.00
Positions (direct):
Ni (0.2500, 0.2500, 0.2500)
Lu (0.0000, 0.0000, 0.0000)
Au (0.7500, 0.7500, 0.7500)
Ga (0.5000, 0.5000, 0.5000)

## Properties
- Symmetry: F-43m
- Density of states at the Fermi level: 2.1 states/eV/f.u.
- Formation energy: -0.50 eV per atom